(1)
# GGA-PBE Ce2HoNbN4, relaxed
data_Ce2HoNbN4
_space_group_name_H-M_alt 'P 1'
_space_group_IT_number 1
_cell_length_a 5.8825
_cell_length_b 3.3888
_cell_length_c 5.9506
_cell_angle_alpha 90.00
_cell_angle_beta 109.11
_cell_angle_gamma 90.00
loop_
_space_group_symop_operation_xyz
'x,y,z'
loop_
_atom_site_label
_atom_site_type_symbol
_atom_site_fract_x
_atom_site_fract_y
_atom_site_fract_z
Ce1 Ce 0.0000 0.0000 0.0000
Ce2 Ce 0.5000 0.5000 0.0000
Ho1 Ho 0.0000 0.5000 0.5000
Nb1 Nb 0.5000 0.0000 0.5000
N1 N 0.2597 0.0000 0.7299
N2 N 0.2704 0.5000 0.2754
N3 N 0.7296 0.5000 0.7246
N4 N 0.7403 0.0000 0.2701
# Crystal system: monoclinic
# Formation energy from raw total energies in eV per atom: -1.45
# Density of states at the Fermi level in states/eV/f.u.: 4.42
# Spin magnetization in μB per cell: 0.0
# Electronic total energy in eV/atom: -8.93


(2)
# GGA-PBE CeNdHoN3, relaxed
data_CeNdHoN3
_space_group_name_H-M_alt 'P 1'
_space_group_IT_number 1
_cell_length_a 5.9389
_cell_length_b 3.4030
_cell_length_c 9.6029
_cell_angle_alpha 90.00
_cell_angle_beta 92.72
_cell_angle_gamma 90.00
loop_
_space_group_symop_operation_xyz
'x,y,z'
loop_
_atom_site_label
_atom_site_type_symbol
_atom_site_fract_x
_atom_site_fract_y
_atom_site_fract_z
Ce1 Ce 0.2334 0.2500 0.2441
Ce2 Ce 0.7666 0.7500 0.7559
Nd1 Nd 0.2928 0.2500 0.8825
Nd2 Nd 0.7072 0.7500 0.1175
Ho1 Ho 0.2565 0.7500 0.5556
Ho2 Ho 0.7435 0.2500 0.4444
N1 N 0.0113 0.2500 0.6568
N2 N 0.2775 0.7500 0.0610
N3 N 0.4914 0.7500 0.3540
N4 N 0.5086 0.2500 0.6460
N5 N 0.7225 0.2500 0.9390
N6 N 0.9887 0.7500 0.3432
# Crystal system: monoclinic
# Formation energy from raw total energies in eV per atom: -1.31
# Density of states at the Fermi level in states/eV/f.u.: 3.81
# Spin magnetization in μB per cell: 1.3
# Electronic total energy in eV/atom: -8.02


(3)
# GGA-PBE CeNd2HoN4, relaxed
data_CeNd2HoN4
_space_group_name_H-M_alt 'P 1'
_space_group_IT_number 1
_cell_length_a 6.1698
_cell_length_b 3.5786
_cell_length_c 6.1988
_cell_angle_alpha 90.00
_cell_angle_beta 109.27
_cell_angle_gamma 90.00
loop_
_space_group_symop_operation_xyz
'x,y,z'
loop_
_atom_site_label
_atom_site_type_symbol
_atom_site_fract_x
_atom_site_fract_y
_atom_site_fract_z
Ce1 Ce 0.0000 0.0000 0.0000
Nd1 Nd 0.0000 0.5000 0.5000
Nd2 Nd 0.5000 0.0000 0.5000
Ho1 Ho 0.5000 0.5000 0.0000
N1 N 0.2446 0.5000 0.2340
N2 N 0.2529 0.0000 0.7660
N3 N 0.7471 0.0000 0.2340
N4 N 0.7554 0.5000 0.7660
# Crystal system: monoclinic
# Formation energy from raw total energies in eV per atom: -1.50
# Density of states at the Fermi level in states/eV/f.u.: 2.82
# Spin magnetization in μB per cell: 0.0
# Electronic total energy in eV/atom: -8.16


(4)
# GGA-PBE CeNdHo2N4, relaxed
data_CeNdHo2N4
_space_group_name_H-M_alt 'P 1'
_space_group_IT_number 1
_cell_length_a 6.1046
_cell_length_b 3.5296
_cell_length_c 6.1053
_cell_angle_alpha 90.00
_cell_angle_beta 109.29
_cell_angle_gamma 90.00
loop_
_space_group_symop_operation_xyz
'x,y,z'
loop_
_atom_site_label
_atom_site_type_symbol
_atom_site_fract_x
_atom_site_fract_y
_atom_site_fract_z
Ce1 Ce 0.0000 0.0000 0.0000
Nd1 Nd 0.0000 0.5000 0.5000
Ho1 Ho 0.5000 0.0000 0.5000
Ho2 Ho 0.5000 0.5000 0.0000
N1 N 0.2560 0.5000 0.2460
N2 N 0.2579 0.0000 0.7612
N3 N 0.7421 0.0000 0.2388
N4 N 0.7440 0.5000 0.7540
# Crystal system: monoclinic
# Formation energy from raw total energies in eV per atom: -1.57
# Density of states at the Fermi level in states/eV/f.u.: 3.57
# Spin magnetization in μB per cell: 0.2
# Electronic total energy in eV/atom: -8.22


(5)
# GGA-PBE CeHo2NpN4, relaxed
data_CeHo2NpN4
_space_group_name_H-M_alt 'P 1'
_space_group_IT_number 1
_cell_length_a 6.0183
_cell_length_b 3.4741
_cell_length_c 6.0421
_cell_angle_alpha 90.00
_cell_angle_beta 109.36
_cell_angle_gamma 90.00
loop_
_space_group_symop_operation_xyz
'x,y,z'
loop_
_atom_site_label
_atom_site_type_symbol
_atom_site_fract_x
_atom_site_fract_y
_atom_site_fract_z
Ce1 Ce 0.0000 0.0000 0.0000
Ho1 Ho 0.0000 0.5000 0.5000
Ho2 Ho 0.5000 0.0000 0.5000
Np1 Np 0.5000 0.5000 0.0000
N1 N 0.2589 0.5000 0.2495
N2 N 0.2595 0.0000 0.7533
N3 N 0.7405 0.0000 0.2467
N4 N 0.7411 0.5000 0.7505
# Crystal system: monoclinic
# Formation energy from raw total energies in eV per atom: -1.50
# Density of states at the Fermi level in states/eV/f.u.: 8.99
# Spin magnetization in μB per cell: 3.7
# Electronic total energy in eV/atom: -9.17


(6)
# GGA-PBE Ce2HoPN5, relaxed
data_Ce2HoPN5
_space_group_name_H-M_alt 'P 1'
_space_group_IT_number 1
_cell_length_a 6.4880
_cell_length_b 6.4880
_cell_length_c 5.6119
_cell_angle_alpha 90.00
_cell_angle_beta 90.00
_cell_angle_gamma 90.00
loop_
_space_group_symop_operation_xyz
'x,y,z'
loop_
_atom_site_label
_atom_site_type_symbol
_atom_site_fract_x
_atom_site_fract_y
_atom_site_fract_z
Ce1 Ce 0.1777 0.3223 0.0000
Ce2 Ce 0.3223 0.8223 0.0000
Ce3 Ce 0.6777 0.1777 0.0000
Ce4 Ce 0.8223 0.6777 0.0000
Ho1 Ho 0.0000 0.0000 0.5000
Ho2 Ho 0.5000 0.5000 0.5000
P1 P 0.0000 0.5000 0.5000
P2 P 0.5000 0.0000 0.5000
N1 N 0.0000 0.0000 0.0000
N2 N 0.1354 0.6354 0.2842
N3 N 0.1354 0.6354 0.7158
N4 N 0.3646 0.1354 0.2842
N5 N 0.3646 0.1354 0.7158
N6 N 0.5000 0.5000 0.0000
N7 N 0.6354 0.8646 0.2842
N8 N 0.6354 0.8646 0.7158
N9 N 0.8646 0.3646 0.2842
N10 N 0.8646 0.3646 0.7158
# Crystal system: tetragonal
# Formation energy from raw total energies in eV per atom: -0.95
# Density of states at the Fermi level in states/eV/f.u.: 4.81
# Spin magnetization in μB per cell: 0.0
# Electronic total energy in eV/atom: -8.00


> What is the formula in the sixth record?

Ce2HoPN5


> Which value of density of states at the Fermi level does entry 6 give?

4.81 states/eV/f.u.


> density of states at the Fermi level of number 1 (Ce2HoNbN4)?

4.42 states/eV/f.u.